# 1
Entry from Alexandria via LeMat-Bulk: a relaxed structure of AcDyTc4 (PBE-GGA).

Properties
- DFT formation energy: 139 meV/atom
- Calculated volume: 118.8 Å³ per cell
- Space group: F-43m, No. 216

Cell and atoms, written as extended XYZ:
```
6
Lattice="5.517 0.000 0.000 2.759 4.778 0.000 2.759 1.593 4.505" Properties=species:S:1:pos:R:3 pbc="T T T"
Tc 4.143 3.979 2.814
Tc 5.517 3.186 0.569
Dy 2.759 1.593 1.126
Ac 0.000 0.000 0.000
Tc 5.517 1.598 2.814
Tc 6.892 3.979 2.814
```


# 2
Entry from Alexandria via LeMat-Bulk: a relaxed structure of AcDy5Te6 (PBE-GGA).

Properties
- Calculated volume: 365.6 Å³ per cell
- Formation energy from raw total energies: -1302 meV per atom
- Space group: C2/m, No. 12

Cell and atoms, written as extended XYZ:
```
12
Lattice="7.509 -0.124 -1.409 -4.063 6.316 -1.409 0.151 0.271 7.668" Properties=species:S:1:pos:R:3 pbc="T T T"
Te 4.686 3.625 3.567
Te 2.552 4.586 -0.157
Te 0.611 5.893 3.567
Dy 3.669 2.013 -1.409
Dy -2.243 5.481 2.425
Ac 0.000 0.000 0.000
Te 2.986 0.570 1.283
Dy -0.223 4.179 -1.409
Dy 1.799 3.232 2.425
Te 1.045 1.878 5.007
Te -1.089 2.838 1.283
Dy 5.840 0.983 2.425
```


# 3
Entry from Alexandria via LeMat-Bulk: a relaxed structure of Ac2DyTe5 (PBE-GGA).

Properties
- Calculated volume: 294.1 Å³ per cell
- Formation energy from raw total energies: -1260 meV per atom
- Space group: P1, No. 1

Cell and atoms, written as extended XYZ:
```
8
Lattice="8.037 1.258 0.105 1.257 8.028 0.084 -4.599 -4.579 4.579" Properties=species:S:1:pos:R:3 pbc="T T T"
Ac 0.980 4.059 2.937
Te -1.096 1.312 3.282
Te 7.049 7.042 0.930
Ac 4.055 0.985 2.946
Dy -0.026 -0.021 0.701
Te 1.299 -1.079 3.292
Te 4.388 4.398 2.502
Te 2.109 2.105 0.399
```


# 4
Entry from Alexandria via LeMat-Bulk: a relaxed structure of Ac5DyTe6 (PBE-GGA).

Properties
- Calculated volume: 431.8 Å³ per cell
- Formation energy from raw total energies: -1445 meV per atom
- Space group: C2/m, No. 12

Cell and atoms, written as extended XYZ:
```
12
Lattice="7.950 -0.136 -1.492 -4.305 6.684 -1.492 0.147 0.265 8.095" Properties=species:S:1:pos:R:3 pbc="T T T"
Dy 0.000 0.000 0.000
Ac 1.896 3.407 2.556
Ac 3.839 2.152 -1.492
Te 2.839 0.526 1.210
Te 4.841 4.124 3.901
Ac -0.194 4.397 -1.492
Te -1.049 2.690 1.210
Te 0.958 1.721 5.392
Te 0.953 6.287 3.901
Ac -2.073 5.616 2.556
Ac 5.865 1.198 2.556
Te 2.834 5.092 -0.281
```


# 5
Entry from Alexandria via LeMat-Bulk: a relaxed structure of AcDyTe6 (PBE-GGA).

Properties
- Calculated volume: 269.9 Å³ per cell
- Formation energy from raw total energies: -972 meV per atom
- Space group: Amm2, No. 38

Cell and atoms, written as extended XYZ:
```
8
Lattice="-1.051 4.288 -0.183 -1.777 -0.263 4.039 12.746 1.090 5.678" Properties=species:S:1:pos:R:3 pbc="T T T"
Ac 3.332 0.986 3.949
Te 8.854 4.730 6.621
Te 10.267 2.718 4.694
Te 6.388 1.794 5.345
Te 0.381 2.488 2.748
Dy 7.534 4.277 3.593
Te 1.795 0.475 0.821
Te 4.674 3.520 2.285
```


# 6
Entry from Alexandria via LeMat-Bulk: a relaxed structure of Ac3Dy4Te8 (PBE-GGA).

Properties
- Calculated volume: 527.8 Å³ per cell
- Formation energy from raw total energies: -1382 meV per atom
- Space group: C2/m, No. 12

Cell and atoms, written as extended XYZ:
```
15
Lattice="8.974 -0.122 -0.175 -4.374 7.944 0.181 -4.374 -2.588 7.513" Properties=species:S:1:pos:R:3 pbc="T T T"
Te -2.111 4.027 5.785
Ac 2.300 -1.355 3.669
Ac 0.113 2.617 3.759
Te -4.374 0.006 5.707
Te 6.732 1.162 1.669
Dy -2.187 -1.294 3.756
Ac 2.300 3.911 0.003
Te 0.113 5.344 1.861
Dy 0.000 0.000 0.000
Dy 4.487 -0.061 -0.087
Te 0.113 -0.110 5.657
Te 2.337 1.207 1.734
Te -4.374 5.350 1.987
Dy -2.187 3.972 0.090
Te -6.507 4.072 5.850
```


# 7
Entry from Alexandria via LeMat-Bulk: a relaxed structure of AcDy4Te8 (PBE-GGA).

Properties
- Calculated volume: 507.4 Å³ per cell
- Formation energy from raw total energies: -1337 meV per atom
- Space group: R-3m, No. 166

Cell and atoms, written as extended XYZ:
```
13
Lattice="-0.469 0.619 -8.601 5.340 -4.633 -4.960 -3.596 -7.206 -4.659" Properties=species:S:1:pos:R:3 pbc="T T T"
Dy -0.234 0.310 -4.301
Te 0.142 -2.360 -8.849
Dy 2.436 -2.007 -6.781
Te 1.133 -8.860 -9.371
Ac 0.638 -5.610 -9.110
Dy 2.670 -2.317 -2.480
Dy 0.000 0.000 0.000
Te 3.101 -5.036 -6.994
Te 2.863 -4.720 -11.376
Te -1.826 -6.185 -11.226
Te 0.838 -8.549 -13.668
Te -1.587 -6.500 -6.844
Te 0.437 -2.672 -4.552
```


# 8
Entry from Alexandria via LeMat-Bulk: a relaxed structure of AcDyTe (PBE-GGA).

Properties
- Calculated volume: 104.3 Å³ per cell
- Formation energy from raw total energies: -571 meV per atom
- Space group: P-6m2, No. 187
- Polymorph energy (0 for the lowest one): 0.194 eV per atom

Cell and atoms, written as extended XYZ:
```
3
Lattice="4.211 0.000 0.000 0.000 5.347 0.000 0.000 -2.674 4.631" Properties=species:S:1:pos:R:3 pbc="T T T"
Te 0.700 0.000 3.087
Ac 2.808 2.674 1.544
Dy 0.703 0.000 0.000
```


What is the calculated volume in the eighth record? 104.3 Å³ per cell